# BeCd2Pd (PBE-GGA, optimized geometry)
data_BeCd2Pd
_chemical_formula_sum 'Be4 Cd8 Pd4'
_space_group_name_H-M_alt 'I -4 2 d'
_space_group_IT_number 122
_space_group_name_Hall 'I -4 2bw'
_cell_length_a 7.205
_cell_length_b 7.205
_cell_length_c 5.324
_cell_angle_alpha 90.00
_cell_angle_beta 90.00
_cell_angle_gamma 90.00
loop_
_atom_site_label
_atom_site_fract_x
_atom_site_fract_y
_atom_site_fract_z
Be1 0.000 0.000 0.000
Cd1 0.213 0.250 0.125
Pd1 0.000 0.000 0.500
# * energy relative to the elements: 0.223 eV/atom
# * VASP energy: -2.464 eV/atom